# 1
{
  "formula": "Hf2ZrBeRh",
  "functional": "PBE",
  "state": "optimized geometry",
  "lattice": [[4.9299, 0.0000, 0.0000], [0.0000, 4.9299, 0.0000], [0.0000, 0.0000, 4.9948]],
  "species": ["Hf", "Hf", "Zr", "Be", "Rh"],
  "frac_coords": [[0.0000, 0.5000, 0.0000], [0.5000, 0.0000, 0.0000], [0.0000, 0.0000, 0.5000], [0.5000, 0.5000, 0.5000], [0.0000, 0.0000, 0.0000]],
  "e_tot_ev_per_atom": -7.27,
  "formation_enthalpy_0k_mev_per_atom": 635
}

---

# 2
{
  "formula": "CaTaTi2Sb",
  "functional": "PBE",
  "state": "optimized geometry",
  "lattice": [[4.6178, 0.0000, 0.0000], [0.0000, 4.6178, 0.0000], [0.0000, 0.0000, 5.0228]],
  "species": ["Ca", "Ta", "Ti", "Ti", "Sb"],
  "frac_coords": [[0.0000, 0.0000, 0.0000], [0.0000, 0.0000, 0.5000], [0.0000, 0.5000, 0.0000], [0.5000, 0.0000, 0.0000], [0.5000, 0.5000, 0.5000]],
  "e_form_raw_mev_per_atom": 1760,
  "e_tot_ev_per_atom": -4.99
}

---

# 3
{
  "formula": "SmSeClO3",
  "functional": "PBE",
  "state": "optimized geometry",
  "lattice": [[7.5237, 0.0000, 0.0000], [0.0000, 7.1882, 0.0000], [0.0000, 0.0000, 9.0035]],
  "species": ["Sm", "Sm", "Sm", "Sm", "Se", "Se", "Se", "Se", "Cl", "Cl", "Cl", "Cl", "O", "O", "O", "O", "O", "O", "O", "O", "O", "O", "O", "O"],
  "frac_coords": [[0.1072, 0.2500, 0.0401], [0.3928, 0.7500, 0.5401], [0.6072, 0.2500, 0.4599], [0.8928, 0.7500, 0.9599], [0.2159, 0.2500, 0.6305], [0.2841, 0.7500, 0.1305], [0.7159, 0.2500, 0.8695], [0.7841, 0.7500, 0.3695], [0.0605, 0.7500, 0.6816], [0.4395, 0.2500, 0.1816], [0.5605, 0.7500, 0.8184], [0.9395, 0.2500, 0.3184], [0.1400, 0.5749, 0.0684], [0.1400, 0.9251, 0.0684], [0.2489, 0.7500, 0.3169], [0.2511, 0.2500, 0.8169], [0.3600, 0.0749, 0.5684], [0.3600, 0.4251, 0.5684], [0.6400, 0.5749, 0.4316], [0.6400, 0.9251, 0.4316], [0.7489, 0.7500, 0.1831], [0.7511, 0.2500, 0.6831], [0.8600, 0.0749, 0.9316], [0.8600, 0.4251, 0.9316]],
  "e_form_raw_mev_per_atom": -2011,
  "e_tot_ev_per_atom": -6.16
}

---

# 4
{
  "formula": "Ac2NdEr",
  "functional": "PBE",
  "state": "optimized geometry",
  "lattice": [[3.7226, 0.0000, 0.0000], [-1.8613, 3.2238, 0.0000], [0.0000, 0.0000, 39.5025]],
  "species": ["Ac", "Ac", "Ac", "Ac", "Ac", "Ac", "Nd", "Nd", "Nd", "Er", "Er", "Er"],
  "frac_coords": [[0.0000, 0.0000, 0.0875], [0.0000, 0.0000, 0.9125], [0.3333, 0.6667, 0.5792], [0.3333, 0.6667, 0.7541], [0.6667, 0.3333, 0.2459], [0.6667, 0.3333, 0.4208], [0.0000, 0.0000, 0.5000], [0.3333, 0.6667, 0.1667], [0.6667, 0.3333, 0.8333], [0.0000, 0.0000, 0.0000], [0.3333, 0.6667, 0.6667], [0.6667, 0.3333, 0.3333]],
  "relative_energy_ev_per_atom": 0.210,
  "e_tot_ev_per_atom": -4.14,
  "formation_enthalpy_0k_mev_per_atom": 250
}